Here is Ca2Ga2Ag after structural relaxation from Alexandria via LeMat-Bulk. Energies are from GGA-PBEsol. Values from VASP.

Spin magnetization   0.0 μB/f.u.
DFT total energy   -0.2380 Ry per atom
Symmetry   No. 127
DFT formation energy   -37.4 kJ/mol of atoms
Excess energy over the best structure of this formula in the dataset   0.000 eV per atom

Quantum ESPRESSO input file:
```
&SYSTEM
  ibrav = 0, nat = 10, ntyp = 3
/
ATOMIC_SPECIES
Ca 40.08 Ca.upf
Ga 69.72 Ga.upf
Ag 107.87 Ag.upf
ATOMIC_POSITIONS angstrom
Ca 1.219 2.289 0.000
Ca 2.289 5.796 0.000
Ca 4.727 1.219 0.000
Ca 5.796 4.727 0.000
Ga 0.901 4.409 2.297
Ga 2.607 0.901 2.297
Ga 4.409 6.114 2.297
Ga 6.114 2.607 2.297
Ag 0.000 0.000 2.297
Ag 3.508 3.508 2.297
CELL_PARAMETERS angstrom
7.015 0.000 0.000
0.000 7.015 0.000
0.000 0.000 4.594
```